Entry 1:
Entry from Alexandria via LeMat-Bulk: crystalline MgTlPb at its relaxed geometry (PBE).

Cell lengths 5.2997, 5.2997, 3.4745 Å; angles 90.00, 90.00, 120.00 degrees
Space group P3m1 (No. 156)
Unique sites:
Mg (0.0000, 0.0000, 0.0000) x1
Tl (0.3333, 0.6667, 0.7476) x1
Pb (0.6667, 0.3333, 0.3204) x1

Output
DFT formation energy: 0.07 eV per formula unit
density: 8.6 g/cm3
energy above the lowest structure with this stoichiometry: 41 meV/atom


Entry 2:
Entry from Alexandria via LeMat-Bulk: crystalline Mg2TlPb8 at its relaxed geometry (PBE).

Cell lengths 8.902, 13.734, 5.959 Å; angles 90.00, 111.59, 90.00 degrees
Space group C2/m (No. 12)
Unique sites:
Mg (0.000, 0.187, 0.000) x4
Tl (0.000, 0.500, 0.500) x2
Pb (0.000, 0.262, 0.500) x4
Pb (0.104, 0.000, 0.321) x4
Pb (0.207, 0.379, 0.126) x8

Output
DFT formation energy: 0.68 eV per formula unit
density: 9.4 g/cm3
energy above the lowest structure with this stoichiometry: 71 meV/atom


> Look up the energy above the lowest structure with this stoichiometry of the first one.

41 meV/atom


Repeat the second record exactly.
Entry from Alexandria via LeMat-Bulk: crystalline Mg2TlPb8 at its relaxed geometry (PBE).

Cell lengths 8.902, 13.734, 5.959 Å; angles 90.00, 111.59, 90.00 degrees
Space group C2/m (No. 12)
Unique sites:
Mg (0.000, 0.187, 0.000) x4
Tl (0.000, 0.500, 0.500) x2
Pb (0.000, 0.262, 0.500) x4
Pb (0.104, 0.000, 0.321) x4
Pb (0.207, 0.379, 0.126) x8

Output
DFT formation energy: 0.68 eV per formula unit
density: 9.4 g/cm3
energy above the lowest structure with this stoichiometry: 71 meV/atom


> Which value of DFT formation energy does entry 2 give?

0.68 eV per formula unit